Compound: V3Si
Source: the Alexandria database
Functional: PBE-GGA
Structure: relaxed

The structure in extended XYZ format:
```
4
Lattice="3.5745 0.0000 0.0000 0.0000 3.5745 0.0000 -1.7872 -1.7872 4.1286" Properties=species:S:1:pos:R:3 pbc="T T T"
Si 0.0000 0.0000 0.0000
V 1.7872 0.0000 2.0643
V 0.0000 1.7872 2.0643
V 1.7872 1.7872 0.0000
```

ρ ... 5.69 g cm⁻³
Formation energy from raw total energies ... -6.33 kcal/mol of atoms

=====

Compound: V3Si
Source: the Alexandria database
Functional: PBE-GGA
Structure: relaxed

The structure in extended XYZ format:
```
4
Lattice="-0.7716 2.3200 -2.8468 -3.0439 -2.0316 -0.8306 -2.0547 2.1383 2.2996" Properties=species:S:1:pos:R:3 pbc="T T T"
Si 0.0000 0.0000 0.0000
V -2.5493 0.0534 0.7345
V -1.4132 2.2292 -0.2736
V -1.9077 0.1442 -1.8387
```

ρ ... 5.68 g cm⁻³
Formation energy from raw total energies ... -7.12 kcal/mol of atoms

=====

Compound: V5Si3
Source: the Alexandria database
Functional: PBE-GGA
Structure: relaxed

The structure in extended XYZ format:
```
16
Lattice="7.0517 0.0012 0.0000 1.6155 6.8642 0.0000 -4.3336 -3.4327 4.3776" Properties=species:S:1:pos:R:3 pbc="T T T"
V 0.0000 0.0000 0.0000
V 4.3336 3.4327 0.0000
V -2.6743 0.6739 3.6372
V 4.3774 0.6751 0.7403
V 2.5587 2.9712 2.1888
V -0.8556 -1.6222 2.1888
V 7.0080 2.7588 0.7403
V -0.0438 2.7576 3.6372
V 1.7749 0.4615 2.1888
V 5.1892 5.0549 2.1888
Si 6.5005 5.1491 0.0000
Si 2.1668 1.7164 0.0000
Si 1.3591 -1.7157 3.3530
Si 2.9746 5.1484 1.0245
Si -0.6361 0.8031 2.1888
Si 4.9698 2.6296 2.1888
```

Energy above the lowest structure with this stoichiometry ... 36 meV/atom
ρ ... 5.31 g cm⁻³
Formation energy from raw total energies ... -12.71 kcal/mol of atoms

=====

Compound: VSi
Source: the Alexandria database
Functional: PBE-GGA
Structure: relaxed

The structure in extended XYZ format:
```
8
Lattice="-0.3513 -0.8753 2.5486 5.1143 -0.2078 0.6336 -0.0136 7.2399 2.4846" Properties=species:S:1:pos:R:3 pbc="T T T"
Si 3.7436 -0.1521 0.4638
Si 1.3707 -0.0557 0.1698
Si 1.0040 3.1341 2.6636
Si 3.7454 3.0227 3.0032
V -0.1864 5.2962 3.2421
V -0.1785 1.0684 1.7912
V 2.5532 2.0100 1.0422
V 2.5475 5.0221 2.0759
```

ρ ... 4.89 g cm⁻³
Formation energy from raw total energies ... -9.66 kcal/mol of atoms

=====

Compound: V5Si3
Source: the Alexandria database
Functional: PBE-GGA
Structure: relaxed

The structure in extended XYZ format:
```
16
Lattice="7.1201 0.0000 0.0000 -3.5600 6.1662 0.0000 0.0000 0.0000 4.8337" Properties=species:S:1:pos:R:3 pbc="T T T"
V 2.6911 4.6611 1.2084
V -0.8690 1.5051 1.2084
V 5.3822 0.0000 3.6252
V 0.0000 4.1108 2.4168
V 1.7379 0.0000 1.2084
V 3.5600 2.0554 2.4168
V -2.6911 4.6611 3.6252
V 0.0000 4.1108 0.0000
V 0.8690 1.5051 3.6252
V 3.5600 2.0554 0.0000
Si 2.1516 3.7267 3.6252
Si 2.8168 0.0000 3.6252
Si 4.3033 0.0000 1.2084
Si -1.4084 2.4394 3.6252
Si 1.4084 2.4394 1.2084
Si -2.1516 3.7267 1.2084
```

Energy above the lowest structure with this stoichiometry ... 52 meV/atom
ρ ... 5.30 g cm⁻³
Formation energy from raw total energies ... -12.34 kcal/mol of atoms

=====

Compound: V3Si
Source: the Alexandria database
Functional: PBE-GGA
Structure: relaxed

The structure in extended XYZ format:
```
4
Lattice="-2.0539 1.2086 -3.4472 -4.1357 -0.6087 -0.2966 -2.6159 3.2702 0.1578" Properties=species:S:1:pos:R:3 pbc="T T T"
Si -4.4027 1.9351 -1.7930
V 0.0000 0.0000 0.0000
V -6.6041 2.9026 -2.6895
V -2.2014 0.9675 -0.8965
```

ρ ... 5.77 g cm⁻³
Formation energy from raw total energies ... -7.03 kcal/mol of atoms

=====

Compound: V5Si4
Source: the Alexandria database
Functional: PBE-GGA
Structure: relaxed

The structure in extended XYZ format:
```
9
Lattice="3.3252 0.0000 0.0000 1.6626 4.4963 -0.0788 1.6626 1.3284 8.0596" Properties=species:S:1:pos:R:3 pbc="T T T"
V 1.6626 1.6897 4.9679
V 4.9878 4.1351 3.0129
V 4.9878 4.1860 6.7878
V 1.6626 1.6388 1.1930
V 0.0000 0.0000 0.0000
Si 3.3252 2.3133 6.6978
Si 3.3252 3.5114 1.2830
Si 3.3252 3.7388 4.8490
Si 3.3252 2.0860 3.1318
```

ρ ... 5.04 g cm⁻³
Formation energy from raw total energies ... -8.63 kcal/mol of atoms

=====

Compound: V3Si
Source: the Alexandria database
Functional: PBE-GGA
Structure: relaxed

The structure in extended XYZ format:
```
4
Lattice="2.5264 0.0000 0.0000 0.0000 2.5243 0.0000 0.0000 0.0000 8.6877" Properties=species:S:1:pos:R:3 pbc="T T T"
Si 0.0000 0.0000 8.4426
V 0.0000 1.2622 4.0324
V 1.2632 1.2622 1.6280
V 1.2632 0.0000 6.1683
```

ρ ... 5.42 g cm⁻³
Formation energy from raw total energies ... 2.11 kcal/mol of atoms

=====

Compound: V3Si
Source: the Alexandria database
Functional: PBE-GGA
Structure: relaxed

The structure in extended XYZ format:
```
16
Lattice="4.8561 0.0004 0.0004 2.4286 6.6535 0.0001 2.4286 0.0001 6.6535" Properties=species:S:1:pos:R:3 pbc="T T T"
V 3.7491 0.0013 5.5314
V 1.3180 0.0009 1.1206
V 8.3953 5.5334 6.6538
V 5.9642 1.1226 6.6521
V 4.8570 2.3317 4.3221
V 4.8570 4.3215 2.3328
V 7.2878 4.3209 4.3211
V 2.4249 2.3332 2.3328
V 8.4060 6.6528 3.7891
V 5.9732 6.6530 2.8651
V 3.7401 3.7889 0.0015
V 1.3072 2.8649 0.0009
Si 2.4289 1.9166 4.7364
Si 2.4289 4.7373 1.9170
Si 4.8590 4.7361 4.7377
Si 4.8537 1.9170 1.9173
```

ρ ... 5.59 g cm⁻³
Formation energy from raw total energies ... -8.45 kcal/mol of atoms

=====

Compound: V5Si3
Source: the Alexandria database
Functional: PBE-GGA
Structure: relaxed

The structure in extended XYZ format:
```
16
Lattice="-0.8301 -1.6131 6.8197 4.9507 2.1213 -4.5597 -3.5646 6.0876 0.1869" Properties=species:S:1:pos:R:3 pbc="T T T"
V -2.1433 4.8324 2.8214
V 1.7232 4.2314 -1.6214
V -0.0166 2.1768 -0.4591
V 0.5726 4.4189 2.9061
V -1.1672 2.3642 4.0683
V 1.1770 1.8710 2.3769
V 2.6993 1.7633 -0.3744
V -3.3046 4.0822 5.1074
V -0.6210 4.7247 0.0700
V 3.8606 2.5135 -2.6604
Si 0.1941 6.2077 -1.7496
Si 1.0302 0.1270 0.5650
Si 1.7947 3.7392 0.8307
Si 0.3619 0.3880 4.1966
Si 3.0905 0.3811 1.6950
Si -1.2387 2.8565 1.6162
```

Energy above the lowest structure with this stoichiometry ... 0 meV/atom
ρ ... 5.39 g cm⁻³
Formation energy from raw total energies ... -13.54 kcal/mol of atoms

=====

Compound: V4Si23
Source: the Alexandria database
Functional: PBE-GGA
Structure: relaxed

The structure in extended XYZ format:
```
54
Lattice="-2.0756 -6.1895 7.7061 -4.1128 -6.6193 -6.4243 8.9877 -4.4584 -1.1602" Properties=species:S:1:pos:R:3 pbc="T T T"
V 0.0000 0.0000 0.0000
V 1.3996 -8.6336 0.0608
V -2.5753 -4.8570 -1.2856
V -3.6131 -7.9517 2.5674
V 1.2091 -4.2093 3.5630
V 5.7029 -6.4386 2.9829
V 3.4656 -3.8840 -2.1862
V 1.4092 -7.1937 -5.3983
Si 3.9749 -3.7766 1.3465
Si 2.9371 -6.8713 5.1995
Si 0.1905 -4.4242 -3.5022
Si 4.6843 -6.6535 -4.0823
Si -2.0660 -4.7496 2.2470
Si -4.1224 -8.0592 -0.9652
Si 1.9114 -11.7905 0.0831
Si 0.1289 -7.7399 2.8563
Si -0.6160 -7.8971 -2.3105
Si 4.1742 -7.1069 -0.3856
Si 2.2874 -14.1103 0.0994
Si -0.8049 -7.0832 4.9106
Si -2.0972 -7.3558 -4.0530
Si 6.2131 -5.9851 -0.7137
Si 0.8878 -5.4767 0.0386
Si 2.6703 -9.5273 -2.7347
Si 3.4152 -9.3701 2.4321
Si -1.3750 -10.1602 0.5073
Si 0.5118 -3.1569 0.0222
Si 3.6041 -10.1840 -4.7890
Si 4.8964 -9.9114 4.1747
Si -3.4139 -11.2821 0.8354
Si 5.1115 -8.5053 -5.4546
Si -0.2366 -2.5724 -2.1299
Si -1.7944 -5.0795 -4.5631
Si 6.6692 -5.9982 -3.0213
Si -5.0674 -10.1196 -0.3679
Si -1.9072 -5.0335 4.5684
Si -4.2812 -7.7753 -3.2866
Si -1.1211 -2.6892 1.6497
Si 4.3607 -8.5462 6.0139
Si 0.9565 -6.8575 6.4533
Si 2.5514 -2.1017 0.5321
Si 5.9555 -3.7904 0.0927
Si 1.7958 -11.0725 2.3202
Si -0.2860 -10.0398 2.5889
Si 1.0035 -6.1947 -2.1985
Si 3.0852 -7.2273 -2.4672
Si 3.7151 -10.7851 -1.0436
Si -0.9158 -6.4821 1.1652
Si -1.8685 -8.0153 -0.3228
Si 4.6677 -9.2519 0.4445
Si -0.1183 -11.4065 -1.0422
Si 2.4368 -7.2943 2.9488
Si 0.3625 -9.9729 -2.8272
Si 2.9175 -5.8607 1.1639
```

ρ ... 2.74 g cm⁻³
Formation energy from raw total energies ... 11.05 kcal/mol of atoms

=====

Compound: VSi
Source: the Alexandria database
Functional: PBE-GGA
Structure: relaxed

The structure in extended XYZ format:
```
12
Lattice="6.7772 0.0000 0.0000 0.0000 6.7772 0.0000 0.0000 0.0000 6.7772" Properties=species:S:1:pos:R:3 pbc="T T T"
V 1.6943 3.3886 0.0000
V 5.0829 3.3886 0.0000
V 3.3886 0.0000 1.6943
V 3.3886 0.0000 5.0829
V 0.0000 1.6943 3.3886
V 0.0000 5.0829 3.3886
Si 1.6943 0.0000 3.3886
Si 5.0829 0.0000 3.3886
Si 0.0000 3.3886 1.6943
Si 0.0000 3.3886 5.0829
Si 3.3886 1.6943 0.0000
Si 3.3886 5.0829 0.0000
```

ρ ... 2.53 g cm⁻³
Formation energy from raw total energies ... 23.33 kcal/mol of atoms